1.
The following is a DFT calculation (PBE) of crystalline AlPSe2 at its relaxed geometry. Values from VASP.

Cell and atoms, written as Quantum ESPRESSO input:
```
&SYSTEM
  ibrav = 0, nat = 4, ntyp = 3
/
ATOMIC_SPECIES
Se 78.96 Se.upf
P 30.97 P.upf
Al 26.98 Al.upf
ATOMIC_POSITIONS angstrom
Se 1.822 2.059 2.323
Se 0.000 6.236 5.650
P 1.822 4.962 4.221
Al 0.000 3.352 3.597
CELL_PARAMETERS angstrom
3.643 0.000 0.000
0.000 4.312 0.081
0.000 2.332 6.235
```

Space-group type: No. 6
Energy relative to the lowest polymorph listed for this composition: 2.8 kJ/mol of atoms
Size of the total moment: 0.000 μB/atom
Formation energy (no corrections): -0.1952 eV/atom

=====

2.
The following is a DFT calculation (PBE) of crystalline AlPSe2 at its relaxed geometry. Values from VASP.

Cell and atoms, written as Quantum ESPRESSO input:
```
&SYSTEM
  ibrav = 0, nat = 16, ntyp = 3
/
ATOMIC_SPECIES
P 30.97 P.upf
Se 78.96 Se.upf
Al 26.98 Al.upf
ATOMIC_POSITIONS angstrom
P 3.206 2.229 8.577
P 3.206 5.899 4.930
P 0.120 1.441 4.074
P 0.120 5.111 0.428
Se 5.420 3.449 3.106
Se 2.335 3.891 5.898
Se 2.335 0.221 7.608
Se 2.230 1.557 3.111
Se 2.230 5.227 1.392
Se 5.315 2.113 7.613
Se 5.315 5.783 5.894
Se 5.420 7.119 1.396
Al 3.030 0.253 1.011
Al 6.116 7.087 7.994
Al 3.030 3.923 3.492
Al 6.116 3.417 5.513
CELL_PARAMETERS angstrom
6.171 0.000 0.000
0.000 7.340 0.000
0.000 0.000 9.004
```

Space-group type: No. 33
Energy relative to the lowest polymorph listed for this composition: 1.3 kJ/mol of atoms
Size of the total moment: 0.000 μB/atom
Formation energy (no corrections): -0.2111 eV/atom

=====

3.
The following is a DFT calculation (PBE) of crystalline AlP3Se at its relaxed geometry. Values from VASP.

Cell and atoms, written as Quantum ESPRESSO input:
```
&SYSTEM
  ibrav = 0, nat = 5, ntyp = 3
/
ATOMIC_SPECIES
P 30.97 P.upf
Se 78.96 Se.upf
Al 26.98 Al.upf
ATOMIC_POSITIONS angstrom
P -2.096 -0.318 0.928
P 0.310 -2.292 -0.086
P 0.930 0.046 2.119
Se -0.856 -2.564 2.960
Al 0.000 0.000 0.000
CELL_PARAMETERS angstrom
-4.193 -0.637 1.855
0.620 -4.584 -0.172
1.861 0.092 4.237
```

Space-group type: No. 221
Energy relative to the lowest polymorph listed for this composition: 0.0 kJ/mol of atoms
Size of the total moment: 0.000 μB/atom
Formation energy (no corrections): 0.8196 eV/atom